VASP calculation (PBE-GGA) on a relaxed structure of ErNb3O6.

CIF file:
```
data_ErNb3O6
_chemical_formula_sum 'Er2 Nb6 O12'
_cell_length_a 8.870
_cell_length_b 3.069
_cell_length_c 9.267
_cell_angle_alpha 90.00
_cell_angle_beta 108.46
_cell_angle_gamma 90.00
_symmetry_space_group_name_H-M 'P 1 21/m 1'
_symmetry_Int_Tables_number 11
loop_
_symmetry_equiv_pos_as_xyz
'x,y,z'
'-x,-y,-z'
'-x,y+1/2,-z'
'x,-y+1/2,z'
loop_
_atom_site_label
_atom_site_type_symbol
_atom_site_fract_x
_atom_site_fract_y
_atom_site_fract_z
Er1 Er 0.110 0.250 0.366
Nb1 Nb 0.138 0.250 0.032
Nb2 Nb 0.289 0.750 0.728
Nb3 Nb 0.482 0.750 0.362
O1 O 0.070 0.750 0.178
O2 O 0.101 0.250 0.624
O3 O 0.227 0.750 0.927
O4 O 0.308 0.750 0.497
O5 O 0.319 0.250 0.250
O6 O 0.431 0.250 0.826
```

Values from the calculation:
Calculated volume: 11.96 A^3/atom
Magnetic moment: 0.00 μB/cell
Uncorrected energy: -8.885 eV per atom
E_form (uncorrected): -234.8 kJ per mole of atoms